1.
An optimized crystal structure of RbCa2C, computed with PBE-GGA.

Cell and atoms, written as CIF:
```
data_RbCa2C
_chemical_formula_sum 'Rb2 Ca4 C2'
_cell_length_a 7.834
_cell_length_b 7.834
_cell_length_c 7.834
_cell_angle_alpha 120.05
_cell_angle_beta 120.05
_cell_angle_gamma 89.91
_symmetry_space_group_name_H-M 'P 1'
_symmetry_Int_Tables_number 1
loop_
_symmetry_equiv_pos_as_xyz
'x,y,z'
loop_
_atom_site_label
_atom_site_type_symbol
_atom_site_fract_x
_atom_site_fract_y
_atom_site_fract_z
Rb1 Rb 0.375 0.625 0.750
Rb2 Rb 0.625 0.375 0.250
Ca1 Ca 0.000 0.000 0.000
Ca2 Ca 0.000 0.000 0.500
Ca3 Ca 0.000 0.500 0.000
Ca4 Ca 0.500 0.000 0.500
C1 C 0.125 0.875 0.250
C2 C 0.875 0.125 0.750
```

Computed properties:
* calculated formation energy: 0.480 eV per atom
* N(E_F): 0.218 states/eV per atom

2.
An optimized crystal structure of AcSm2RuO8, computed with PBE-GGA.

Cell and atoms, written as CIF:
```
data_AcSm2RuO8
_chemical_formula_sum 'Ac1 Sm2 Ru1 O8'
_cell_length_a 5.197
_cell_length_b 7.102
_cell_length_c 5.198
_cell_angle_alpha 90.00
_cell_angle_beta 91.11
_cell_angle_gamma 90.00
_symmetry_space_group_name_H-M 'P 1'
_symmetry_Int_Tables_number 1
loop_
_symmetry_equiv_pos_as_xyz
'x,y,z'
loop_
_atom_site_label
_atom_site_type_symbol
_atom_site_fract_x
_atom_site_fract_y
_atom_site_fract_z
Ac1 Ac 0.000 0.000 0.000
Sm1 Sm 0.500 0.252 0.500
Sm2 Sm 0.500 0.748 0.500
Ru1 Ru 0.000 0.500 0.000
O1 O 0.184 0.303 0.183
O2 O 0.184 0.697 0.183
O3 O 0.256 0.500 0.743
O4 O 0.319 0.000 0.679
O5 O 0.681 0.000 0.321
O6 O 0.744 0.500 0.257
O7 O 0.816 0.303 0.817
O8 O 0.816 0.697 0.817
```

Computed properties:
* N(E_F): 0.440 states/eV per atom
* uncorrected formation energy: -2.309 eV/atom

3.
An optimized crystal structure of NdBiO3, computed with PBE-GGA.

Cell and atoms, written as CIF:
```
data_NdBiO3
_chemical_formula_sum 'Nd4 Bi4 O12'
_cell_length_a 6.875
_cell_length_b 6.588
_cell_length_c 7.641
_cell_angle_alpha 90.00
_cell_angle_beta 96.38
_cell_angle_gamma 90.00
_symmetry_space_group_name_H-M 'P 1'
_symmetry_Int_Tables_number 1
loop_
_symmetry_equiv_pos_as_xyz
'x,y,z'
loop_
_atom_site_label
_atom_site_type_symbol
_atom_site_fract_x
_atom_site_fract_y
_atom_site_fract_z
Nd1 Nd 0.141 0.178 0.165
Nd2 Nd 0.141 0.322 0.665
Nd3 Nd 0.859 0.678 0.335
Nd4 Nd 0.859 0.822 0.835
Bi1 Bi 0.402 0.722 0.064
Bi2 Bi 0.402 0.778 0.564
Bi3 Bi 0.598 0.222 0.436
Bi4 Bi 0.598 0.278 0.936
O1 O 0.042 0.654 0.640
O2 O 0.042 0.846 0.140
O3 O 0.296 0.101 0.471
O4 O 0.296 0.399 0.971
O5 O 0.489 0.078 0.176
O6 O 0.489 0.422 0.676
O7 O 0.511 0.578 0.324
O8 O 0.511 0.922 0.824
O9 O 0.704 0.601 0.029
O10 O 0.704 0.899 0.529
O11 O 0.958 0.154 0.860
O12 O 0.958 0.346 0.360
```

Computed properties:
* N(E_F): 0.000 states/eV per atom
* uncorrected formation energy: -2.213 eV/atom

4.
An optimized crystal structure of In2H2Ir, computed with PBE-GGA.

Cell and atoms, written as CIF:
```
data_In2H2Ir
_chemical_formula_sum 'In2 H2 Ir1'
_cell_length_a 7.111
_cell_length_b 7.111
_cell_length_c 7.111
_cell_angle_alpha 154.65
_cell_angle_beta 154.65
_cell_angle_gamma 36.15
_symmetry_space_group_name_H-M 'P 1'
_symmetry_Int_Tables_number 1
loop_
_symmetry_equiv_pos_as_xyz
'x,y,z'
loop_
_atom_site_label
_atom_site_type_symbol
_atom_site_fract_x
_atom_site_fract_y
_atom_site_fract_z
In1 In 0.130 0.130 0.000
In2 In 0.870 0.870 0.000
H1 H 0.250 0.750 0.500
H2 H 0.750 0.250 0.500
Ir1 Ir 0.500 0.500 0.000
```

Computed properties:
* energy above the lowest structure with this stoichiometry: 1.21 eV/f.u.
* N(E_F): 0.369 states/eV per atom

5.
An optimized crystal structure of KMg6Hg12, computed with PBE-GGA.

Cell and atoms, written as CIF:
```
data_KMg6Hg12
_chemical_formula_sum 'K1 Mg6 Hg12'
_cell_length_a 8.578
_cell_length_b 8.578
_cell_length_c 8.578
_cell_angle_alpha 110.71
_cell_angle_beta 110.71
_cell_angle_gamma 110.71
_symmetry_space_group_name_H-M 'P 1'
_symmetry_Int_Tables_number 1
loop_
_symmetry_equiv_pos_as_xyz
'x,y,z'
loop_
_atom_site_label
_atom_site_type_symbol
_atom_site_fract_x
_atom_site_fract_y
_atom_site_fract_z
K1 K 0.000 0.000 0.000
Mg1 Mg 0.036 0.307 0.542
Mg2 Mg 0.307 0.542 0.036
Mg3 Mg 0.458 0.964 0.693
Mg4 Mg 0.542 0.036 0.307
Mg5 Mg 0.693 0.458 0.964
Mg6 Mg 0.964 0.693 0.458
Hg1 Hg 0.136 0.749 0.214
Hg2 Hg 0.205 0.488 0.360
Hg3 Hg 0.214 0.136 0.749
Hg4 Hg 0.251 0.786 0.864
Hg5 Hg 0.360 0.205 0.488
Hg6 Hg 0.488 0.360 0.205
Hg7 Hg 0.512 0.640 0.795
Hg8 Hg 0.640 0.795 0.512
Hg9 Hg 0.749 0.214 0.136
Hg10 Hg 0.786 0.864 0.251
Hg11 Hg 0.795 0.512 0.640
Hg12 Hg 0.864 0.251 0.786
```

Computed properties:
* calculated formation energy: -0.128 eV per atom
* N(E_F): 0.473 states/eV per atom

6.
An optimized crystal structure of Be6Hg, computed with PBE-GGA.

Cell and atoms, written as CIF:
```
data_Be6Hg
_chemical_formula_sum 'Be6 Hg1'
_cell_length_a 5.104
_cell_length_b 5.104
_cell_length_c 5.104
_cell_angle_alpha 109.47
_cell_angle_beta 109.47
_cell_angle_gamma 109.47
_symmetry_space_group_name_H-M 'P 1'
_symmetry_Int_Tables_number 1
loop_
_symmetry_equiv_pos_as_xyz
'x,y,z'
loop_
_atom_site_label
_atom_site_type_symbol
_atom_site_fract_x
_atom_site_fract_y
_atom_site_fract_z
Be1 Be 0.250 0.500 0.750
Be2 Be 0.250 0.750 0.500
Be3 Be 0.500 0.250 0.750
Be4 Be 0.500 0.750 0.250
Be5 Be 0.750 0.250 0.500
Be6 Be 0.750 0.500 0.250
Hg1 Hg 0.000 0.000 0.000
```

Computed properties:
* calculated formation energy: 1.265 eV per atom
* N(E_F): 0.500 states/eV per atom

7.
An optimized crystal structure of IrRuPb2, computed with PBE-GGA.

Cell and atoms, written as CIF:
```
data_IrRuPb2
_chemical_formula_sum 'Ir2 Ru2 Pb4'
_cell_length_a 7.473
_cell_length_b 7.473
_cell_length_c 7.473
_cell_angle_alpha 131.35
_cell_angle_beta 131.35
_cell_angle_gamma 71.26
_symmetry_space_group_name_H-M 'P 1'
_symmetry_Int_Tables_number 1
loop_
_symmetry_equiv_pos_as_xyz
'x,y,z'
loop_
_atom_site_label
_atom_site_type_symbol
_atom_site_fract_x
_atom_site_fract_y
_atom_site_fract_z
Ir1 Ir 0.000 0.000 0.000
Ir2 Ir 0.750 0.250 0.500
Ru1 Ru 0.250 0.750 0.500
Ru2 Ru 0.500 0.500 0.000
Pb1 Pb 0.126 0.625 0.001
Pb2 Pb 0.375 0.376 0.501
Pb3 Pb 0.624 0.125 0.999
Pb4 Pb 0.875 0.874 0.499
```

Computed properties:
* calculated formation energy: 1.088 eV per atom
* energy above the lowest structure with this stoichiometry: 2.96 eV/f.u.
* N(E_F): 1.286 states/eV per atom

8.
An optimized crystal structure of Ac2SmEr, computed with PBE-GGA.

Cell and atoms, written as CIF:
```
data_Ac2SmEr
_chemical_formula_sum 'Ac2 Sm1 Er1'
_cell_length_a 6.388
_cell_length_b 3.816
_cell_length_c 6.611
_cell_angle_alpha 90.00
_cell_angle_beta 110.17
_cell_angle_gamma 90.00
_symmetry_space_group_name_H-M 'P 1'
_symmetry_Int_Tables_number 1
loop_
_symmetry_equiv_pos_as_xyz
'x,y,z'
loop_
_atom_site_label
_atom_site_type_symbol
_atom_site_fract_x
_atom_site_fract_y
_atom_site_fract_z
Ac1 Ac 0.000 0.000 0.000
Ac2 Ac 0.000 0.500 0.500
Sm1 Sm 0.500 0.000 0.500
Er1 Er 0.500 0.500 0.000
```

Computed properties:
* calculated formation energy: 0.046 eV per atom
* energy above the lowest structure with this stoichiometry: 0.01 eV/f.u.
* N(E_F): 1.126 states/eV per atom

9.
An optimized crystal structure of TaGaAuC2, computed with PBE-GGA.

Cell and atoms, written as CIF:
```
data_TaGaAuC2
_chemical_formula_sum 'Ta1 Ga1 Au1 C2'
_cell_length_a 3.942
_cell_length_b 3.942
_cell_length_c 5.582
_cell_angle_alpha 90.00
_cell_angle_beta 90.00
_cell_angle_gamma 90.00
_symmetry_space_group_name_H-M 'P 1'
_symmetry_Int_Tables_number 1
loop_
_symmetry_equiv_pos_as_xyz
'x,y,z'
loop_
_atom_site_label
_atom_site_type_symbol
_atom_site_fract_x
_atom_site_fract_y
_atom_site_fract_z
Ta1 Ta 0.000 0.000 0.000
Ga1 Ga 0.500 0.500 0.000
Au1 Au 0.000 0.000 0.500
C1 C 0.000 0.500 0.500
C2 C 0.500 0.000 0.500
```

Computed properties:
* calculated formation energy: 2.284 eV per atom
* energy above the lowest structure with this stoichiometry: 0.91 eV/f.u.
* N(E_F): 0.623 states/eV per atom

10.
An optimized crystal structure of PuZrGe2, computed with PBE-GGA.

Cell and atoms, written as CIF:
```
data_PuZrGe2
_chemical_formula_sum 'Pu1 Zr1 Ge2'
_cell_length_a 3.650
_cell_length_b 3.650
_cell_length_c 6.197
_cell_angle_alpha 90.00
_cell_angle_beta 90.00
_cell_angle_gamma 90.00
_symmetry_space_group_name_H-M 'P 1'
_symmetry_Int_Tables_number 1
loop_
_symmetry_equiv_pos_as_xyz
'x,y,z'
loop_
_atom_site_label
_atom_site_type_symbol
_atom_site_fract_x
_atom_site_fract_y
_atom_site_fract_z
Pu1 Pu 0.000 0.000 0.000
Zr1 Zr 0.000 0.000 0.500
Ge1 Ge 0.500 0.500 0.284
Ge2 Ge 0.500 0.500 0.716
```

Computed properties:
* calculated formation energy: -0.505 eV per atom
* energy above the lowest structure with this stoichiometry: 0.21 eV/f.u.
* N(E_F): 2.288 states/eV per atom

11.
An optimized crystal structure of Ca3Cu5, computed with PBE-GGA.

Cell and atoms, written as CIF:
```
data_Ca3Cu5
_chemical_formula_sum 'Ca3 Cu5'
_cell_length_a 5.807
_cell_length_b 5.807
_cell_length_c 4.977
_cell_angle_alpha 90.00
_cell_angle_beta 90.00
_cell_angle_gamma 107.15
_symmetry_space_group_name_H-M 'P 1'
_symmetry_Int_Tables_number 1
loop_
_symmetry_equiv_pos_as_xyz
'x,y,z'
loop_
_atom_site_label
_atom_site_type_symbol
_atom_site_fract_x
_atom_site_fract_y
_atom_site_fract_z
Ca1 Ca 0.000 0.000 0.000
Ca2 Ca 0.297 0.703 0.500
Ca3 Ca 0.703 0.297 0.500
Cu1 Cu 0.000 0.500 0.000
Cu2 Cu 0.186 0.186 0.500
Cu3 Cu 0.500 0.000 0.000
Cu4 Cu 0.500 0.500 0.000
Cu5 Cu 0.814 0.814 0.500
```

Computed properties:
* calculated formation energy: 0.072 eV per atom
* energy above the lowest structure with this stoichiometry: 0.69 eV/f.u.
* N(E_F): 0.496 states/eV per atom

12.
An optimized crystal structure of Rb5Pt2O6, computed with PBE-GGA.

Cell and atoms, written as CIF:
```
data_Rb5Pt2O6
_chemical_formula_sum 'Rb10 Pt4 O12'
_cell_length_a 9.508
_cell_length_b 16.075
_cell_length_c 3.966
_cell_angle_alpha 90.00
_cell_angle_beta 90.00
_cell_angle_gamma 90.00
_symmetry_space_group_name_H-M 'P 1'
_symmetry_Int_Tables_number 1
loop_
_symmetry_equiv_pos_as_xyz
'x,y,z'
loop_
_atom_site_label
_atom_site_type_symbol
_atom_site_fract_x
_atom_site_fract_y
_atom_site_fract_z
Rb1 Rb 0.000 0.000 0.000
Rb2 Rb 0.081 0.221 0.000
Rb3 Rb 0.155 0.446 0.000
Rb4 Rb 0.345 0.946 0.000
Rb5 Rb 0.419 0.721 0.000
Rb6 Rb 0.500 0.500 0.000
Rb7 Rb 0.581 0.279 0.000
Rb8 Rb 0.655 0.054 0.000
Rb9 Rb 0.845 0.554 0.000
Rb10 Rb 0.919 0.779 0.000
Pt1 Pt 0.138 0.623 0.500
Pt2 Pt 0.362 0.123 0.500
Pt3 Pt 0.638 0.877 0.500
Pt4 Pt 0.862 0.377 0.500
O1 O 0.058 0.342 0.500
O2 O 0.149 0.648 0.000
O3 O 0.175 0.072 0.500
O4 O 0.325 0.572 0.500
O5 O 0.351 0.148 0.000
O6 O 0.442 0.842 0.500
O7 O 0.558 0.158 0.500
O8 O 0.649 0.852 0.000
O9 O 0.675 0.428 0.500
O10 O 0.825 0.928 0.500
O11 O 0.851 0.352 0.000
O12 O 0.942 0.658 0.500
```

Computed properties:
* N(E_F): 0.651 states/eV per atom
* uncorrected formation energy: -0.917 eV/atom